Record 1
# Nd4HPb2 | Alexandria | PBE-GGA | relaxed
data_Nd4HPb2
_chemical_formula_sum 'Nd8 H2 Pb4'
_cell_length_a 6.547
_cell_length_b 6.714
_cell_length_c 9.640
_cell_angle_alpha 90.00
_cell_angle_beta 109.53
_cell_angle_gamma 90.00
_space_group_name_H-M_alt 'P 1 21/m 1'
_space_group_IT_number 11
_space_group_name_Hall '-P 2yb'
loop_
_atom_site_label
_atom_site_type_symbol
_atom_site_fract_x
_atom_site_fract_y
_atom_site_fract_z
_atom_site_occupancy
Nd1 Nd 0.034 0.000 0.293 1
Nd2 Nd 0.374 0.250 0.058 1
Nd3 Nd 0.436 0.250 0.651 1
H1 H 0.218 0.250 0.800 1
Pb1 Pb 0.185 0.750 0.032 1
Pb2 Pb 0.342 0.750 0.600 1
# DOS at the Fermi energy, states/eV/f.u.: 5.976
# DFT total energy, eV/atom: -4.75
# M_tot, μB/f.u.: 0.00

---

Record 2
# Nd4HPb | Alexandria | PBE-GGA | relaxed
data_Nd4HPb
_chemical_formula_sum 'Nd16 H4 Pb4'
_cell_length_a 15.724
_cell_length_b 6.215
_cell_length_c 7.131
_cell_angle_alpha 90.00
_cell_angle_beta 107.93
_cell_angle_gamma 90.00
_space_group_name_H-M_alt 'C 1 2/c 1'
_space_group_IT_number 15
_space_group_name_Hall '-C 2yc'
loop_
_atom_site_label
_atom_site_type_symbol
_atom_site_fract_x
_atom_site_fract_y
_atom_site_fract_z
_atom_site_occupancy
Nd1 Nd 0.099 0.082 0.446 1
Nd2 Nd 0.185 0.409 0.151 1
H1 H 0.250 0.250 0.500 1
Pb1 Pb 0.000 0.401 0.750 1
# DOS at the Fermi energy, states/eV/f.u.: 6.146
# DFT total energy, eV/atom: -4.59
# M_tot, μB/f.u.: 0.00

---

Record 3
# NdH6Pt2Pb | Alexandria | PBE-GGA | relaxed
data_NdH6Pt2Pb
_chemical_formula_sum 'Nd4 H24 Pt8 Pb4'
_cell_length_a 8.669
_cell_length_b 8.615
_cell_length_c 7.794
_cell_angle_alpha 90.00
_cell_angle_beta 112.09
_cell_angle_gamma 90.00
_space_group_name_H-M_alt 'C 1 2/c 1'
_space_group_IT_number 15
_space_group_name_Hall '-C 2yc'
loop_
_atom_site_label
_atom_site_type_symbol
_atom_site_fract_x
_atom_site_fract_y
_atom_site_fract_z
_atom_site_occupancy
Nd1 Nd 0.000 0.049 0.250 1
H1 H 0.004 0.161 0.532 1
H2 H 0.094 0.294 0.232 1
H3 H 0.215 0.148 0.854 1
Pt1 Pt 0.210 0.193 0.645 1
Pb1 Pb 0.000 0.422 0.750 1
# DOS at the Fermi energy, states/eV/f.u.: 2.257
# DFT total energy, eV/atom: -4.32
# M_tot, μB/f.u.: 0.00

---

Record 4
# NdH6Rh2Pb | Alexandria | PBE-GGA | relaxed
data_NdH6Rh2Pb
_chemical_formula_sum 'Nd4 H24 Rh8 Pb4'
_cell_length_a 7.698
_cell_length_b 12.101
_cell_length_c 4.722
_cell_angle_alpha 90.00
_cell_angle_beta 96.20
_cell_angle_gamma 90.00
_space_group_name_H-M_alt 'C 1 2/c 1'
_space_group_IT_number 15
_space_group_name_Hall '-C 2yc'
loop_
_atom_site_label
_atom_site_type_symbol
_atom_site_fract_x
_atom_site_fract_y
_atom_site_fract_z
_atom_site_occupancy
Nd1 Nd 0.000 0.160 0.250 1
H1 H 0.118 0.161 0.794 1
H2 H 0.164 0.005 0.491 1
H3 H 0.197 0.311 0.429 1
Rh1 Rh 0.217 0.421 0.233 1
Pb1 Pb 0.000 0.376 0.750 1
# DOS at the Fermi energy, states/eV/f.u.: 2.201
# DFT total energy, eV/atom: -4.60
# M_tot, μB/f.u.: 0.00

---

Record 5
# Nd3HPbS | Alexandria | PBE-GGA | relaxed
data_Nd3HPbS
_chemical_formula_sum 'Nd6 H2 Pb2 S2'
_cell_length_a 8.292
_cell_length_b 4.282
_cell_length_c 8.913
_cell_angle_alpha 90.00
_cell_angle_beta 99.55
_cell_angle_gamma 90.00
_space_group_name_H-M_alt 'P 1 21/m 1'
_space_group_IT_number 11
_space_group_name_Hall '-P 2yb'
loop_
_atom_site_label
_atom_site_type_symbol
_atom_site_fract_x
_atom_site_fract_y
_atom_site_fract_z
_atom_site_occupancy
Nd1 Nd 0.072 0.250 0.329 1
Nd2 Nd 0.317 0.250 0.959 1
Nd3 Nd 0.381 0.750 0.627 1
H1 H 0.413 0.750 0.901 1
Pb1 Pb 0.335 0.750 0.244 1
S1 S 0.153 0.250 0.649 1
# DOS at the Fermi energy, states/eV/f.u.: 3.254
# DFT total energy, eV/atom: -5.26
# M_tot, μB/f.u.: 0.00

---

Record 6
# NdH4Pd | Alexandria | PBE-GGA | relaxed
data_NdH4Pd
_chemical_formula_sum 'Nd2 H8 Pd2'
_cell_length_a 4.054
_cell_length_b 4.739
_cell_length_c 6.613
_cell_angle_alpha 90.00
_cell_angle_beta 90.00
_cell_angle_gamma 90.00
_space_group_name_H-M_alt 'I m m m'
_space_group_IT_number 71
_space_group_name_Hall '-I 2 2'
loop_
_atom_site_label
_atom_site_type_symbol
_atom_site_fract_x
_atom_site_fract_y
_atom_site_fract_z
_atom_site_occupancy
Nd1 Nd 0.000 0.000 0.000 1
H1 H 0.000 0.265 0.328 1
Pd1 Pd 0.000 0.000 0.500 1
# DOS at the Fermi energy, states/eV/f.u.: 1.426
# DFT total energy, eV/atom: -4.29
# M_tot, μB/f.u.: 0.00

---

Record 7
# NdH3Pd | Alexandria | PBE-GGA | relaxed
data_NdH3Pd
_chemical_formula_sum 'Nd1 H3 Pd1'
_cell_length_a 3.783
_cell_length_b 3.783
_cell_length_c 3.783
_cell_angle_alpha 90.00
_cell_angle_beta 90.00
_cell_angle_gamma 90.00
_space_group_name_H-M_alt 'P m -3 m'
_space_group_IT_number 221
_space_group_name_Hall '-P 4 2 3'
loop_
_atom_site_label
_atom_site_type_symbol
_atom_site_fract_x
_atom_site_fract_y
_atom_site_fract_z
_atom_site_occupancy
Nd1 Nd 0.000 0.000 0.000 1
H1 H 0.000 0.500 0.500 1
Pd1 Pd 0.500 0.500 0.500 1
# DOS at the Fermi energy, states/eV/f.u.: 1.854
# DFT total energy, eV/atom: -4.51
# M_tot, μB/f.u.: 0.00

---

Record 8
# Nd12H5Pd3 | Alexandria | PBE-GGA | relaxed
data_Nd12H5Pd3
_chemical_formula_sum 'Nd96 H40 Pd24'
_cell_length_a 15.703
_cell_length_b 15.703
_cell_length_c 15.703
_cell_angle_alpha 90.00
_cell_angle_beta 90.00
_cell_angle_gamma 90.00
_space_group_name_H-M_alt 'I a -3 d'
_space_group_IT_number 230
_space_group_name_Hall '-I 4bd 2c 3'
loop_
_atom_site_label
_atom_site_type_symbol
_atom_site_fract_x
_atom_site_fract_y
_atom_site_fract_z
_atom_site_occupancy
Nd1 Nd 0.037 0.061 0.653 1
H1 H 0.000 0.000 0.000 1
H2 H 0.000 0.250 0.375 1
Pd1 Pd 0.000 0.250 0.125 1
# DOS at the Fermi energy, states/eV/f.u.: 18.125
# DFT total energy, eV/atom: -4.84
# M_tot, μB/f.u.: 0.00

---

Record 9
# NdH3Pd | Alexandria | PBE-GGA | relaxed
data_NdH3Pd
_chemical_formula_sum 'Nd4 H12 Pd4'
_cell_length_a 11.979
_cell_length_b 3.836
_cell_length_c 5.009
_cell_angle_alpha 90.00
_cell_angle_beta 93.69
_cell_angle_gamma 90.00
_space_group_name_H-M_alt 'C 1 m 1'
_space_group_IT_number 8
_space_group_name_Hall 'C -2y'
loop_
_atom_site_label
_atom_site_type_symbol
_atom_site_fract_x
_atom_site_fract_y
_atom_site_fract_z
_atom_site_occupancy
Nd1 Nd 0.000 0.000 0.000 1
Nd2 Nd 0.228 0.500 0.502 1
H1 H 0.057 0.500 0.238 1
H2 H 0.065 0.500 0.756 1
H3 H 0.169 0.000 0.268 1
H4 H 0.283 0.500 0.019 1
H5 H 0.348 0.000 0.726 1
H6 H 0.442 0.500 0.479 1
Pd1 Pd 0.285 0.000 0.035 1
Pd2 Pd 0.451 0.000 0.489 1
# DOS at the Fermi energy, states/eV/f.u.: 1.167
# DFT total energy, eV/atom: -4.53
# M_tot, μB/f.u.: 0.00

---

Record 10
# NdHPd2 | Alexandria | PBE-GGA | relaxed
data_NdHPd2
_chemical_formula_sum 'Nd3 H3 Pd6'
_cell_length_a 3.1577
_cell_length_b 3.1577
_cell_length_c 22.8733
_cell_angle_alpha 90.00
_cell_angle_beta 90.00
_cell_angle_gamma 120.00
_space_group_name_H-M_alt 'R -3 m'
_space_group_IT_number 166
_space_group_name_Hall '-R 3 2"'
loop_
_atom_site_label
_atom_site_type_symbol
_atom_site_fract_x
_atom_site_fract_y
_atom_site_fract_z
_atom_site_occupancy
Nd1 Nd 0.0000 0.0000 0.0000 1
H1 H 0.0000 0.0000 0.5000 1
Pd1 Pd 0.0000 0.0000 0.1192 1
# DOS at the Fermi energy, states/eV/f.u.: 1.943
# DFT total energy, eV/atom: -4.53
# M_tot, μB/f.u.: 0.00

---

Record 11
# NdH3Pd | Alexandria | PBE-GGA | relaxed
data_NdH3Pd
_chemical_formula_sum 'Nd4 H12 Pd4'
_cell_length_a 6.702
_cell_length_b 5.500
_cell_length_c 7.460
_cell_angle_alpha 90.00
_cell_angle_beta 123.78
_cell_angle_gamma 90.00
_space_group_name_H-M_alt 'P 1 21/c 1'
_space_group_IT_number 14
_space_group_name_Hall '-P 2ybc'
loop_
_atom_site_label
_atom_site_type_symbol
_atom_site_fract_x
_atom_site_fract_y
_atom_site_fract_z
_atom_site_occupancy
Nd1 Nd 0.248 0.250 0.373 1
H1 H 0.048 0.249 0.023 1
H2 H 0.240 0.750 0.371 1
H3 H 0.500 0.000 0.250 1
Pd1 Pd 0.275 0.750 0.138 1
# DOS at the Fermi energy, states/eV/f.u.: 0.937
# DFT total energy, eV/atom: -4.46
# M_tot, μB/f.u.: 0.00

---

Record 12
# Nd2HPd | Alexandria | PBE-GGA | relaxed
data_Nd2HPd
_chemical_formula_sum 'Nd2 H1 Pd1'
_cell_length_a 3.389
_cell_length_b 3.389
_cell_length_c 7.153
_cell_angle_alpha 90.00
_cell_angle_beta 90.00
_cell_angle_gamma 90.00
_space_group_name_H-M_alt 'P 4/m m m'
_space_group_IT_number 123
_space_group_name_Hall '-P 4 2'
loop_
_atom_site_label
_atom_site_type_symbol
_atom_site_fract_x
_atom_site_fract_y
_atom_site_fract_z
_atom_site_occupancy
Nd1 Nd 0.000 0.000 0.234 1
H1 H 0.500 0.500 0.000 1
Pd1 Pd 0.500 0.500 0.500 1
# DOS at the Fermi energy, states/eV/f.u.: 3.754
# DFT total energy, eV/atom: -4.79
# M_tot, μB/f.u.: 0.00

---

Among the records above, which one has the lowest DFT total energy? Nd3HPbS